1.
Entry from Alexandria: Sm2YAlN after structural relaxation (PBE-GGA).

```
Sm2YAlN
1.0
-3.559 -2.724 -1.674
-1.190 -1.274 4.602
-3.066 3.840 0.270
Sm Y Al N
2 1 1 1
Direct
0.000 0.000 0.500
0.000 0.500 0.000
0.500 0.000 0.000
0.500 0.500 0.500
0.000 0.000 0.000
```

Summary:
SG: P4/mmm
N(E_F): 2.304 states/eV/cell
volume: 23.175 A^3/atom
energy relative to the elements, uncorrected: -0.85 eV per atom

---

2.
Entry from Alexandria: NdSbAu2 after structural relaxation (PBE-GGA).

```
NdSbAu2
1.0
4.693 0.000 0.000
2.347 4.064 0.000
2.347 1.355 5.137
Nd Au Sb
1 2 1
Direct
0.000 0.000 0.000
0.768 0.768 0.697
0.232 0.232 0.303
0.500 0.500 0.500
```

Summary:
SG: R-3m
N(E_F): 2.127 states/eV/cell
volume: 24.498 A^3/atom
energy relative to the elements, uncorrected: -0.60 eV per atom

---

3.
Entry from Alexandria: Sr2LuN after structural relaxation (PBE-GGA).

```
Sr2LuN
1.0
-0.766 -0.213 -3.595
-2.722 -2.183 -1.176
-7.813 6.978 -0.636
Sr Lu N
2 1 1
Direct
0.121 0.121 0.637
0.879 0.879 0.363
0.000 0.000 0.000
0.500 0.500 0.500
```

Summary:
SG: R-3m
N(E_F): 3.410 states/eV/cell
volume: 30.169 A^3/atom
energy relative to the elements, uncorrected: -0.18 eV per atom

---

4.
Entry from Alexandria: BeAgN after structural relaxation (PBE-GGA).

```
BeAgN
1.0
-1.053 -2.579 -0.945
2.920 0.428 0.172
0.082 -4.272 7.309
Be Ag N
2 2 2
Direct
0.533 0.061 0.332
0.745 0.670 0.522
0.891 0.235 0.787
0.381 0.487 0.067
0.395 0.999 0.556
0.884 0.734 0.298
```

Summary:
SG: P1
N(E_F): 1.182 states/eV/cell
volume: 10.461 A^3/atom
energy relative to the elements, uncorrected: -0.19 eV per atom

---

5.
Entry from Alexandria: PrNd6Te8 after structural relaxation (PBE-GGA).

```
PrNd6Te8
1.0
-5.336 1.881 6.956
3.318 4.217 7.183
-2.336 8.489 1.691
Pr Nd Te
1 6 8
Direct
0.000 0.000 0.000
0.000 0.500 0.500
0.500 0.000 0.000
0.500 0.500 0.000
0.000 0.000 0.500
0.000 0.500 0.000
0.500 0.000 0.500
0.750 0.750 0.750
0.250 0.250 0.250
0.743 0.257 0.257
0.257 0.743 0.743
0.257 0.257 0.743
0.743 0.743 0.257
0.743 0.257 0.743
0.257 0.743 0.257
```

Summary:
SG: Fm-3m
N(E_F): 7.230 states/eV/cell
volume: 33.978 A^3/atom
energy relative to the elements, uncorrected: -1.46 eV per atom

---

6.
Entry from Alexandria: Pm3B4Os4 after structural relaxation (PBE-GGA).

```
Pm3B4Os4
1.0
6.094 0.000 0.000
-2.031 5.745 0.000
-2.031 -2.873 4.976
Pm B Os
3 4 4
Direct
0.500 0.500 0.000
0.500 0.000 0.500
0.000 0.500 0.500
0.000 0.653 0.000
0.653 0.000 0.000
0.000 0.000 0.653
0.347 0.347 0.347
0.000 0.283 0.000
0.000 0.000 0.283
0.283 0.000 0.000
0.717 0.717 0.717
```

Summary:
SG: I-43m
N(E_F): 6.734 states/eV/cell
volume: 15.836 A^3/atom
ΔH_f (0 K): -0.169 eV per atom

---

7.
Entry from Alexandria: Re2Ag3O8 after structural relaxation (PBE-GGA).

```
Re2Ag3O8
1.0
6.243 0.000 0.000
3.121 5.406 0.000
3.121 1.802 6.367
Re Ag O
2 3 8
Direct
0.611 0.611 0.168
0.389 0.389 0.832
0.000 0.000 0.000
0.826 0.826 0.522
0.174 0.174 0.478
0.703 0.703 0.891
0.297 0.297 0.109
0.270 0.736 0.258
0.736 0.270 0.258
0.736 0.736 0.258
0.264 0.730 0.742
0.730 0.264 0.742
0.264 0.264 0.742
```

Summary:
SG: R-3m
N(E_F): 5.865 states/eV/cell
volume: 16.530 A^3/atom
energy relative to the elements, uncorrected: -0.99 eV per atom

---

8.
Entry from Alexandria: FeSiTe2 after structural relaxation (PBE-GGA).

```
FeSiTe2
1.0
5.225 -0.138 -0.093
0.371 5.213 0.093
-1.836 -3.598 3.318
Fe Si Te
1 1 2
Direct
0.750 0.250 0.500
0.250 0.750 0.500
0.977 0.977 0.000
0.523 0.523 0.000
```

Summary:
SG: Immm
N(E_F): 4.804 states/eV/cell
volume: 22.891 A^3/atom
energy relative to the elements, uncorrected: 0.60 eV per atom

---

9.
Entry from Alexandria: Ba2GePtI after structural relaxation (PBE-GGA).

```
Ba2GePtI
1.0
6.356 0.000 0.000
0.000 6.356 0.000
0.000 0.000 4.699
I Ge Ba Pt
1 1 2 1
Direct
0.500 0.500 0.500
0.000 0.000 0.500
0.000 0.500 0.000
0.500 0.000 0.000
0.000 0.000 0.000
```

Summary:
SG: P4/mmm
N(E_F): 1.572 states/eV/cell
volume: 37.970 A^3/atom
energy relative to the elements, uncorrected: -0.96 eV per atom

---

10.
Entry from Alexandria: Ca3U2Ru4 after structural relaxation (PBE-GGA).

```
Ca3U2Ru4
1.0
4.185 0.000 0.000
-2.093 5.548 -1.478
0.000 0.118 9.094
Ca U Ru
3 2 4
Direct
0.370 0.740 0.619
0.000 0.000 0.000
0.630 0.260 0.381
0.331 0.661 0.221
0.669 0.339 0.779
0.733 0.466 0.095
0.088 0.175 0.635
0.912 0.825 0.365
0.267 0.534 0.905
```

Summary:
SG: C2/m
N(E_F): 8.180 states/eV/cell
volume: 23.542 A^3/atom
ΔH_f (0 K): -0.184 eV per atom

---

11.
Entry from Alexandria: BaLiCu2F6 after structural relaxation (PBE-GGA).

```
BaLiCu2F6
1.0
-3.882 3.752 -0.461
-3.658 0.613 3.950
1.121 5.551 3.893
Ba Li Cu F
1 1 2 6
Direct
0.000 0.000 0.000
0.500 0.500 0.500
0.818 0.818 0.545
0.182 0.182 0.455
0.119 0.426 0.685
0.770 0.119 0.685
0.574 0.230 0.315
0.881 0.574 0.315
0.230 0.881 0.315
0.426 0.770 0.685
```

Summary:
SG: R-3
N(E_F): 14.547 states/eV/cell
volume: 15.557 A^3/atom
energy relative to the elements, uncorrected: -2.34 eV per atom

---

12.
Entry from Alexandria: Ga2CoNi3 after structural relaxation (PBE-GGA).

```
Ga2CoNi3
1.0
-4.144 1.408 2.371
0.990 -3.163 3.607
4.758 5.252 -0.027
Ga Co Ni
4 2 6
Direct
0.417 0.143 0.285
0.583 0.857 0.715
0.132 0.357 0.715
0.868 0.643 0.285
0.000 0.250 0.000
0.000 0.750 0.000
0.383 0.663 0.326
0.617 0.337 0.674
0.058 0.837 0.674
0.942 0.163 0.326
0.500 0.750 0.000
0.500 0.250 0.000
```

Summary:
SG: Ibam
N(E_F): 10.436 states/eV/cell
volume: 12.532 A^3/atom
ΔH_f (0 K): -0.154 eV per atom

---

13.
Entry from Alexandria: CaAcErSn after structural relaxation (PBE-GGA).

```
CaAcErSn
1.0
5.655 0.000 0.000
2.828 4.898 0.000
2.828 1.633 4.617
Ac Ca Sn Er
1 1 1 1
Direct
0.500 0.500 0.500
0.250 0.250 0.250
0.000 0.000 0.000
0.750 0.750 0.750
```

Summary:
SG: F-43m
N(E_F): 6.366 states/eV/cell
volume: 31.973 A^3/atom
ΔH_f (0 K): -0.088 eV per atom

---

14.
Entry from Alexandria: Y2HgAs2 after structural relaxation (PBE-GGA).

```
Y2HgAs2
1.0
-2.709 3.872 6.286
-7.187 0.149 -3.189
-0.816 -3.305 1.684
Y As Hg
4 4 2
Direct
0.158 0.658 0.500
0.658 0.842 0.500
0.842 0.342 0.500
0.342 0.158 0.500
0.352 0.852 0.000
0.852 0.648 0.000
0.648 0.148 0.000
0.148 0.352 0.000
0.000 0.000 0.000
0.500 0.500 0.000
```

Summary:
SG: P4/mbm
N(E_F): 1.859 states/eV/cell
volume: 23.492 A^3/atom
ΔH_f (0 K): -0.964 eV per atom

---

15.
Entry from Alexandria: ScSbTe2Rh after structural relaxation (PBE-GGA).

```
ScSbTe2Rh
1.0
5.399 0.000 0.000
0.000 5.399 0.000
0.000 0.000 5.423
Sc Sb Te Rh
1 1 2 1
Direct
0.000 0.000 0.000
0.000 0.000 0.500
0.000 0.500 0.000
0.500 0.000 0.000
0.500 0.500 0.500
```

Summary:
SG: P4/mmm
N(E_F): 5.242 states/eV/cell
volume: 31.609 A^3/atom
energy relative to the elements, uncorrected: 0.55 eV per atom